# 1
Entry from Alexandria via LeMat-Bulk: an optimized crystal structure of CeIn4Pd2 (GGA-PBE).

Structure (POSCAR):
```
CeIn4Pd2
1.0
9.0157 0.0000 0.0000
0.0000 9.0157 0.0000
0.0000 0.0000 3.9632
Ce In Pd
2 8 4
Direct
0.0000 0.0000 0.0000 Ce
0.5000 0.5000 0.5000 Ce
0.0848 0.3217 0.5000 In
0.1783 0.5848 0.0000 In
0.3217 0.0848 0.5000 In
0.4152 0.8217 0.0000 In
0.5848 0.1783 0.0000 In
0.6783 0.9152 0.5000 In
0.8217 0.4152 0.0000 In
0.9152 0.6783 0.5000 In
0.1886 0.8114 0.5000 Pd
0.3114 0.3114 0.0000 Pd
0.6886 0.6886 0.0000 Pd
0.8114 0.1886 0.5000 Pd
```

Values from the calculation:
- energy above the most stable polymorph in this dataset (eV per atom) = 0.114
- volume (Å³/f.u.) = 161.1
- SG = P4_2/mnm
- calculated density (g/cm3) = 8.37
- total moment (μB/atom) = 0.14
- density of states at the Fermi level (states/eV per cell) = 19.8

# 2
Entry from Alexandria via LeMat-Bulk: an optimized crystal structure of Ce2InPd (GGA-PBE).

Structure (POSCAR):
```
Ce2InPd
1.0
3.3575 0.0000 0.0000
0.0000 3.3575 0.0000
0.0000 0.0000 8.7585
Ce In Pd
2 1 1
Direct
0.0000 0.0000 0.2216 Ce
0.0000 0.0000 0.7784 Ce
0.5000 0.5000 0.5000 In
0.5000 0.5000 0.0000 Pd
```

Values from the calculation:
- energy above the most stable polymorph in this dataset (eV per atom) = 0.000
- volume (Å³/f.u.) = 98.7
- SG = P4/mmm
- calculated density (g/cm3) = 8.43
- total moment (μB/atom) = 0.41
- density of states at the Fermi level (states/eV per cell) = 10.0

# 3
Entry from Alexandria via LeMat-Bulk: an optimized crystal structure of CeInPd6 (GGA-PBE).

Structure (POSCAR):
```
CeInPd6
1.0
5.7986 0.0000 0.0000
-2.8993 5.0217 0.0000
0.0000 0.0000 4.7345
Ce In Pd
1 1 6
Direct
0.0000 0.0000 0.0000 Ce
0.3333 0.6667 0.5000 In
0.3401 0.1701 0.5000 Pd
0.5010 0.0019 0.0000 Pd
0.5010 0.4990 0.0000 Pd
0.8299 0.1701 0.5000 Pd
0.8299 0.6599 0.5000 Pd
0.9981 0.4990 0.0000 Pd
```

Values from the calculation:
- energy above the most stable polymorph in this dataset (eV per atom) = 0.047
- volume (Å³/f.u.) = 137.9
- SG = P-6m2
- calculated density (g/cm3) = 10.76
- total moment (μB/atom) = 0.00
- density of states at the Fermi level (states/eV per cell) = 5.1

# 4
Entry from Alexandria via LeMat-Bulk: an optimized crystal structure of CeIn3Pd3 (GGA-PBE).

Structure (POSCAR):
```
CeIn3Pd3
1.0
7.2948 0.0000 0.0000
0.0000 7.2948 0.0000
0.0000 0.0000 7.2948
Ce In Pd
2 6 6
Direct
0.0000 0.0000 0.0000 Ce
0.5000 0.5000 0.5000 Ce
0.0000 0.2500 0.5000 In
0.0000 0.7500 0.5000 In
0.2500 0.5000 0.0000 In
0.5000 0.0000 0.2500 In
0.5000 0.0000 0.7500 In
0.7500 0.5000 0.0000 In
0.0000 0.5000 0.2500 Pd
0.0000 0.5000 0.7500 Pd
0.2500 0.0000 0.5000 Pd
0.5000 0.2500 0.0000 Pd
0.5000 0.7500 0.0000 Pd
0.7500 0.0000 0.5000 Pd
```

Values from the calculation:
- energy above the most stable polymorph in this dataset (eV per atom) = 0.399
- volume (Å³/f.u.) = 194.1
- SG = Pm-3n
- calculated density (g/cm3) = 6.88
- total moment (μB/atom) = 0.20
- density of states at the Fermi level (states/eV per cell) = 26.6